Entry i
Computed, not measured: an optimized crystal structure of PuZrSc6 at the GGA-PBE level of DFT.

a = 5.1857 Å, b = 6.5226 Å, c = 11.4014 Å
α = 90.00°, β = 90.00°, γ = 90.00°
Element x y z (fractional)
Pu (0.0000, 0.0000, 0.0000)
Pu (0.0000, 0.5000, 0.5000)
Zr (0.5000, 0.0000, 0.1551)
Zr (0.5000, 0.5000, 0.6551)
Sc (0.0000, 0.0000, 0.4965)
Sc (0.0000, 0.2448, 0.2470)
Sc (0.0000, 0.2552, 0.7470)
Sc (0.0000, 0.5000, 0.9965)
Sc (0.0000, 0.7448, 0.7470)
Sc (0.0000, 0.7552, 0.2470)
Sc (0.5000, 0.0000, 0.6609)
Sc (0.5000, 0.2471, 0.9090)
Sc (0.5000, 0.2529, 0.4090)
Sc (0.5000, 0.5000, 0.1609)
Sc (0.5000, 0.7471, 0.4090)
Sc (0.5000, 0.7529, 0.9090)

## Properties
The value obtained for the density of states at the Fermi level is 15.45 states/eV/f.u. The space group is No. 38. The calculation puts the magnetization at 11.516 μB per cell.

Entry ii
Computed, not measured: an optimized crystal structure of PuZrSc6 at the GGA-PBE level of DFT.

a = 6.4190 Å, b = 6.4190 Å, c = 6.4190 Å
α = 110.38°, β = 110.38°, γ = 110.38°
Element x y z (fractional)
Pu (0.0000, 0.0000, 0.0000)
Zr (0.5000, 0.5000, 0.5000)
Sc (0.2514, 0.2514, 0.7465)
Sc (0.2514, 0.7465, 0.2514)
Sc (0.2535, 0.7486, 0.7486)
Sc (0.7465, 0.2514, 0.2514)
Sc (0.7486, 0.2535, 0.7486)
Sc (0.7486, 0.7486, 0.2535)

## Properties
The value obtained for the density of states at the Fermi level is 17.76 states/eV/f.u. The space group is No. 166. The calculation puts the magnetization at 6.605 μB per cell.

So which one is most stable? That would be entry i, about 20.4 kJ/mol of atoms below the next structure.